Entry from the Alexandria database: a relaxed structure of Ac3TeOs (PBE).

Values from the calculation:
**ΔE to the lowest computed polymorph**: 0 meV/atom
**Space group**: No. 74
**Formation energy from raw total energies**: -0.501 eV per atom
**Spin magnetization**: 0.00 Bohr magnetons per cell

Lattice parameters (Å, degrees): 9.502 9.502 9.502 140.82 59.07 137.63
Atoms (fractional coordinates):
Ac  0.157  0.407  0.750
Ac  0.190  0.075  0.115
Ac  0.460  0.075  0.385
Ac  0.540  0.925  0.615
Ac  0.810  0.925  0.885
Ac  0.843  0.593  0.250
Te  0.000  0.500  0.500
Te  0.500  0.500  0.000
Os  0.500  0.000  0.000
Os  0.500  0.500  0.500